Tl2TcMo | PBEsol | optimized geometry

Summary:
Polymorph energy (0 for the lowest one) = 1 meV per atom
Electronic total energy = -6.2025 eV per atom
Magnetization = 0.00 μB per formula unit
Density of states at the Fermi level = 9.1 states/eV per cell

Lattice parameters (Å, degrees): 4.118 4.118 8.476 90.00 90.00 90.00
Space group I-4m2 (No. 119)
One atom of each set of equivalent atoms:
Tl  0.000  0.000  0.000
Tl  0.000  0.500  0.250
Tc  0.000  0.500  0.750
Mo  0.000  0.000  0.500